Record 1
The following is a DFT calculation (GGA-PBE) of crystalline BaEr2CuO5 at its relaxed geometry.

```
data_BaEr2CuO5
_chemical_formula_sum 'Ba2 Er4 Cu2 O10'
_cell_length_a 7.3904
_cell_length_b 7.3904
_cell_length_c 7.3904
_cell_angle_alpha 127.92
_cell_angle_beta 127.92
_cell_angle_gamma 76.75
_space_group_name_H-M_alt 'P 1'
_space_group_IT_number 1
loop_
_space_group_symop_operation_xyz
'x,y,z'
loop_
_atom_site_label
_atom_site_type_symbol
_atom_site_fract_x
_atom_site_fract_y
_atom_site_fract_z
Ba1 Ba 0.2500 0.2500 0.0000
Ba2 Ba 0.7500 0.7500 0.0000
Er1 Er 0.1727 0.6727 0.8454
Er2 Er 0.3273 0.1727 0.5000
Er3 Er 0.6727 0.8273 0.5000
Er4 Er 0.8273 0.3273 0.1546
Cu1 Cu 0.2500 0.7500 0.5000
Cu2 Cu 0.7500 0.2500 0.5000
O1 O 0.0000 0.0000 0.0000
O2 O 0.0189 0.2355 0.5000
O3 O 0.2355 0.7355 0.2166
O4 O 0.2645 0.4811 0.5000
O5 O 0.4811 0.9811 0.2166
O6 O 0.5000 0.5000 0.0000
O7 O 0.5189 0.0189 0.7834
O8 O 0.7355 0.5189 0.5000
O9 O 0.7645 0.2645 0.7834
O10 O 0.9811 0.7645 0.5000
```

Output
energy above the most stable polymorph in this dataset: 79.4 meV/atom
ΔE_f (raw): -2.6365 eV per atom



Record 2
The following is a DFT calculation (GGA-PBE) of crystalline BaEr2CuO5 at its relaxed geometry.

```
data_BaEr2CuO5
_chemical_formula_sum 'Ba4 Er8 Cu4 O20'
_cell_length_a 12.1786
_cell_length_b 5.6705
_cell_length_c 7.1774
_cell_angle_alpha 90.00
_cell_angle_beta 90.00
_cell_angle_gamma 90.00
_space_group_name_H-M_alt 'P 1'
_space_group_IT_number 1
loop_
_space_group_symop_operation_xyz
'x,y,z'
loop_
_atom_site_label
_atom_site_type_symbol
_atom_site_fract_x
_atom_site_fract_y
_atom_site_fract_z
Ba1 Ba 0.0960 0.2500 0.0688
Ba2 Ba 0.4040 0.7500 0.5688
Ba3 Ba 0.5960 0.2500 0.4312
Ba4 Ba 0.9040 0.7500 0.9312
Er1 Er 0.0739 0.7500 0.3971
Er2 Er 0.2131 0.2500 0.6135
Er3 Er 0.2869 0.7500 0.1135
Er4 Er 0.4261 0.2500 0.8971
Er5 Er 0.5739 0.7500 0.1029
Er6 Er 0.7131 0.2500 0.8865
Er7 Er 0.7869 0.7500 0.3865
Er8 Er 0.9261 0.2500 0.6029
Cu1 Cu 0.1606 0.7500 0.7819
Cu2 Cu 0.3394 0.2500 0.2819
Cu3 Cu 0.6606 0.7500 0.7181
Cu4 Cu 0.8394 0.2500 0.2181
O1 O 0.0682 0.5043 0.6601
O2 O 0.0682 0.9957 0.6601
O3 O 0.1005 0.7500 0.0862
O4 O 0.2281 0.0026 0.3570
O5 O 0.2281 0.4974 0.3570
O6 O 0.2719 0.5026 0.8570
O7 O 0.2719 0.9974 0.8570
O8 O 0.3995 0.2500 0.5862
O9 O 0.4318 0.0043 0.1601
O10 O 0.4318 0.4957 0.1601
O11 O 0.5682 0.5043 0.8399
O12 O 0.5682 0.9957 0.8399
O13 O 0.6005 0.7500 0.4138
O14 O 0.7281 0.0026 0.1430
O15 O 0.7281 0.4974 0.1430
O16 O 0.7719 0.5026 0.6430
O17 O 0.7719 0.9974 0.6430
O18 O 0.8995 0.2500 0.9138
O19 O 0.9318 0.0043 0.3399
O20 O 0.9318 0.4957 0.3399
```

Output
energy above the most stable polymorph in this dataset: 0.0 meV/atom
ΔE_f (raw): -2.7159 eV per atom



> Among the records above, which one has the highest ΔE_f (raw)?

number 1